The following is a PBE calculation of a relaxed Hg4TeI2O crystal, from the Alexandria database.

a = 8.358 Å, b = 8.358 Å, c = 8.732 Å
α = 111.63°, β = 111.63°, γ = 98.63°
Element x y z (fractional)
1 Hg 0.128 0.278 0.893
2 Hg 0.185 0.705 0.952
3 Hg 0.278 0.128 0.393
4 Hg 0.295 0.815 0.548
5 Hg 0.705 0.185 0.452
6 Hg 0.722 0.872 0.607
7 Hg 0.815 0.295 0.048
8 Hg 0.872 0.722 0.107
9 Te 0.000 0.000 0.000
10 Te 0.000 0.000 0.500
11 I 0.000 0.500 0.500
12 I 0.500 0.000 0.000
13 I 0.500 0.500 0.000
14 I 0.500 0.500 0.500
15 O 0.000 0.500 0.000
16 O 0.500 0.000 0.500

- total energy (eV per cell) = -25.318
- total magnetization (μB/cell) = 0.0
- formation energy (no corrections) (meV per atom) = -31


The following is a PBE calculation of a relaxed HgTeI2O crystal, from the Alexandria database.

a = 5.929 Å, b = 5.929 Å, c = 5.817 Å
α = 90.00°, β = 90.00°, γ = 90.00°
Element x y z (fractional)
1 Hg 0.000 0.000 0.000
2 Te 0.000 0.000 0.500
3 I 0.000 0.500 0.000
4 I 0.500 0.000 0.000
5 O 0.500 0.500 0.500

- total energy (eV per cell) = -7.328
- total magnetization (μB/cell) = 3.7
- formation energy (no corrections) (meV per atom) = 835


The following is a PBE calculation of a relaxed TiHgIO6 crystal, from the Alexandria database.

a = 5.315 Å, b = 5.315 Å, c = 5.008 Å
α = 90.00°, β = 90.00°, γ = 120.00°
Element x y z (fractional)
1 Ti 0.000 0.000 0.000
2 Hg 0.667 0.333 0.500
3 I 0.333 0.667 0.000
4 O 0.042 0.332 0.219
5 O 0.042 0.710 0.781
6 O 0.290 0.332 0.781
7 O 0.290 0.958 0.219
8 O 0.668 0.710 0.219
9 O 0.668 0.958 0.781

- total energy (eV per cell) = -49.349
- total magnetization (μB/cell) = 0.0
- formation energy (no corrections) (meV per atom) = -1095